# MnRuNO (PBE+U, relaxed)
data_MnRuNO
_chemical_formula_sum 'Mn2 Ru2 N2 O2'
_symmetry_space_group_name_H-M 'P 1'
_symmetry_Int_Tables_number 1
_symmetry_space_group_name_Hall 'P 1'
_cell_length_a 5.980
_cell_length_b 2.984
_cell_length_c 5.963
_cell_angle_alpha 90.00
_cell_angle_beta 102.34
_cell_angle_gamma 90.00
loop_
_atom_site_label
_atom_site_type_symbol
_atom_site_fract_x
_atom_site_fract_y
_atom_site_fract_z
Mn1 Mn 0.753 0.500 0.207
Mn2 Mn 0.753 0.000 0.707
Ru1 Ru 0.183 0.000 0.130
Ru2 Ru 0.183 0.500 0.630
N1 N 0.862 0.500 0.543
N2 N 0.862 0.000 0.043
O1 O 0.419 0.000 0.650
O2 O 0.419 0.500 0.150
# **Theoretical density**: 5.94 g/cm³
# **Distance to the lowest polymorph of the same formula**: 34.30 kJ/mol of atoms
# **Raw total energy**: -7.57 eV per atom